[1]
The following is a DFT calculation (PBE) of TaAsP after structural relaxation.

Structure (POSCAR):
```
TaAsP
1.0
4.422 0.000 0.000
-2.211 3.829 0.000
0.000 0.000 2.957
As P Ta
1 1 1
Cartesian
0.000 0.000 0.001 As
2.211 1.276 1.478 P
0.000 2.553 1.479 Ta
```

Results
**Offset from the most stable computed form**: 0.383 eV/atom
**Fermi-level density of states**: 0.2919 states/eV/atom
**Formation enthalpy at 0 K**: -0.05 eV per atom
**ρ**: 9.51 g/cm³
**Raw total energy**: -7.35 eV per atom
**Symmetry**: P-6m2


[2]
The following is a DFT calculation (PBE) of CaVN3 after structural relaxation.

Structure (POSCAR):
```
CaVN3
1.0
3.856 0.000 0.000
0.000 3.856 0.000
0.000 0.000 3.856
Ca V N
1 1 3
Cartesian
1.928 1.928 1.928 Ca
0.000 0.000 0.000 V
0.000 1.928 0.000 N
0.000 0.000 1.928 N
1.928 0.000 0.000 N
```

Results
**Fermi-level density of states**: 0.6022 states/eV/atom
**Uncorrected formation energy**: -0.38 eV/atom
**ρ**: 3.85 g/cm³
**Raw total energy**: -7.60 eV per atom
**Symmetry**: Pm-3m


[3]
The following is a DFT calculation (PBE) of KCoCuS2 after structural relaxation.

Structure (POSCAR):
```
KCoCuS2
1.0
-3.255 -0.481 6.304
-6.755 0.270 2.207
4.795 -2.588 -4.570
K Co Cu S
1 1 1 2
Cartesian
0.000 0.000 0.000 K
-1.733 -1.587 2.995 Co
-3.483 -1.212 0.946 Cu
-6.503 -0.137 5.529 S
-3.507 -0.074 2.982 S
```

Results
**Fermi-level density of states**: 0.8868 states/eV/atom
**Uncorrected formation energy**: -0.54 eV/atom
**ρ**: 3.85 g/cm³
**Raw total energy**: -4.65 eV per atom
**Symmetry**: I-4m2


[4]
The following is a DFT calculation (PBE) of Rb2PH after structural relaxation.

Structure (POSCAR):
```
Rb2PH
1.0
11.887 0.000 0.000
0.000 11.887 0.000
5.944 5.944 1.875
P Rb H
2 4 2
Cartesian
0.000 0.000 0.000 P
11.887 5.944 0.937 P
6.330 2.972 0.469 Rb
5.557 8.915 0.469 Rb
8.915 11.501 1.406 Rb
14.859 12.274 1.406 Rb
5.944 5.944 0.000 H
5.944 11.887 0.937 H
```

Results
**Offset from the most stable computed form**: 0.228 eV/atom
**Fermi-level density of states**: 0.0090 states/eV/atom
**ρ**: 2.54 g/cm³
**Raw total energy**: -2.65 eV per atom
**Symmetry**: I-42d


[5]
The following is a DFT calculation (PBE) of TaMnAu2 after structural relaxation.

Structure (POSCAR):
```
TaMnAu2
1.0
-0.124 2.889 0.072
-2.622 -0.083 -1.219
-3.411 -0.331 7.356
Au Mn Ta
2 1 1
Cartesian
-3.385 -0.328 7.302 Au
-2.288 1.314 1.402 Au
-1.711 -0.166 3.689 Mn
-3.887 1.159 4.850 Ta
```

Results
**Fermi-level density of states**: 0.6361 states/eV/atom
**Formation enthalpy at 0 K**: -0.01 eV per atom
**ρ**: 15.41 g/cm³
**Raw total energy**: -6.91 eV per atom
**Symmetry**: P4mm


[6]
The following is a DFT calculation (PBE) of Co3PPb after structural relaxation.

Structure (POSCAR):
```
Co3PPb
1.0
-3.919 0.669 -1.507
-1.538 -0.088 3.962
0.593 4.198 0.323
Pb P Co
1 1 3
Cartesian
-2.432 2.390 1.389 Pb
0.000 0.000 0.000 P
-0.769 -0.044 1.981 Co
0.296 2.099 0.162 Co
-1.959 0.335 -0.753 Co
```

Results
**Offset from the most stable computed form**: 0.000 eV/atom
**Fermi-level density of states**: 0.9671 states/eV/atom
**Formation enthalpy at 0 K**: 0.19 eV per atom
**ρ**: 8.97 g/cm³
**Raw total energy**: -5.89 eV per atom
**Symmetry**: Pm-3m